1.
{"formula": "SrCu3Ag", "functional": "SCAN", "state": "single point on PBEsol structure", "lattice_angstrom": [[-2.360, 4.095, 0.530], [-3.697, -1.823, -2.372], [-1.839, -1.589, 4.088]], "species": ["Sr", "Cu", "Cu", "Cu", "Ag"], "frac_coords": [[0.500, 0.500, 0.500], [0.000, 0.500, 0.000], [0.000, 0.000, 0.500], [0.500, 0.000, 0.000], [0.000, 0.000, 0.000]], "space_group": "Pm-3m", "vol_a3_per_atom": 21.51, "n_ef_per_ev_cell": 1.70, "formation_energy_ev_per_atom": 0.3756}



2.
{"formula": "SrCu4Ag", "functional": "SCAN", "state": "single point on PBEsol structure", "lattice_angstrom": [[-1.333, -4.647, -1.576], [3.134, -3.933, 0.746], [-1.191, -3.592, 3.396]], "species": ["Ag", "Cu", "Cu", "Cu", "Cu", "Sr"], "frac_coords": [[0.000, 0.000, 0.000], [0.373, 0.373, 0.373], [0.373, 0.373, 0.880], [0.880, 0.373, 0.373], [0.373, 0.880, 0.373], [0.750, 0.750, 0.750]], "space_group": "F-43m", "vol_a3_per_atom": 15.49, "n_ef_per_ev_cell": 2.63, "formation_energy_ev_per_atom": 0.0040}



3.
{"formula": "SrCu2Ag", "functional": "SCAN", "state": "single point on PBEsol structure", "lattice_angstrom": [[4.275, 0.000, 0.000], [2.137, 3.702, 0.000], [2.137, 1.234, 5.276]], "species": ["Sr", "Ag", "Cu", "Cu"], "frac_coords": [[0.495, 0.495, 0.514], [0.299, 0.299, 0.102], [0.013, 0.013, 0.960], [0.692, 0.692, 0.924]], "space_group": "R3m", "vol_a3_per_atom": 20.87, "e_above_lowest_polymorph_mev_per_atom": 0, "n_ef_per_ev_cell": 1.37, "formation_energy_ev_per_atom": -0.0702}



4.
{"formula": "SrZrCuAg2", "functional": "SCAN", "state": "single point on PBEsol structure", "lattice_angstrom": [[4.742, 0.000, 0.000], [0.000, 4.947, 0.000], [0.000, 0.000, 4.947]], "species": ["Sr", "Cu", "Zr", "Ag", "Ag"], "frac_coords": [[0.500, 0.500, 0.500], [0.000, 0.000, 0.000], [0.500, 0.000, 0.000], [0.000, 0.000, 0.500], [0.000, 0.500, 0.000]], "space_group": "P4/mmm", "vol_a3_per_atom": 23.21, "n_ef_per_ev_cell": 3.67, "formation_energy_ev_per_atom": 0.3038}



5.
{"formula": "TaCu2Ag", "functional": "SCAN", "state": "single point on PBEsol structure", "lattice_angstrom": [[-2.737, -0.059, -0.310], [-0.250, -1.255, 2.440], [-0.530, 6.718, 3.401]], "species": ["Ag", "Cu", "Cu", "Ta"], "frac_coords": [[0.500, 0.500, 0.000], [0.000, 0.000, 0.248], [0.000, 0.000, 0.752], [0.500, 0.500, 0.500]], "space_group": "P4/mmm", "vol_a3_per_atom": 14.33, "n_ef_per_ev_cell": 2.40, "formation_energy_ev_per_atom": 0.1261}



6.
{"formula": "TbCu4Ag", "functional": "SCAN", "state": "single point on PBEsol structure", "lattice_angstrom": [[-3.565, 1.574, 3.078], [-2.269, -3.219, 3.025], [0.841, 0.173, 4.891]], "species": ["Tb", "Cu", "Cu", "Cu", "Cu", "Ag"], "frac_coords": [[0.000, 0.000, 0.000], [0.872, 0.376, 0.376], [0.376, 0.376, 0.376], [0.376, 0.872, 0.376], [0.376, 0.376, 0.872], [0.750, 0.750, 0.750]], "space_group": "F-43m", "vol_a3_per_atom": 14.43, "n_ef_per_ev_cell": 3.55, "formation_energy_ev_per_atom": -0.2497}



7.
{"formula": "CuTcAg2", "functional": "SCAN", "state": "single point on PBEsol structure", "lattice_angstrom": [[-1.766, 1.906, -0.305], [-2.952, -3.103, -2.308], [-0.617, -1.645, 4.512]], "species": ["Ag", "Ag", "Cu", "Tc"], "frac_coords": [[0.253, 0.253, 0.505], [0.747, 0.747, 0.495], [0.000, 0.500, 0.000], [0.500, 0.000, 0.000]], "space_group": "C2/m", "vol_a3_per_atom": 14.66, "e_above_lowest_polymorph_mev_per_atom": 2, "n_ef_per_ev_cell": 1.79, "formation_energy_ev_per_atom": 0.4700}



8.
{"formula": "Cu2TcAg", "functional": "SCAN", "state": "single point on PBEsol structure", "lattice_angstrom": [[-1.712, 1.472, -1.192], [-2.692, -1.052, 2.569], [1.389, 4.182, 3.168]], "species": ["Ag", "Cu", "Cu", "Tc"], "frac_coords": [[0.500, 0.500, 0.762], [0.000, 0.000, 0.008], [0.500, 0.500, 0.253], [0.000, 0.000, 0.478]], "space_group": "Pmm2", "vol_a3_per_atom": 13.40, "e_above_lowest_polymorph_mev_per_atom": 69, "n_ef_per_ev_cell": 3.22, "formation_energy_ev_per_atom": 0.4093}